[1]
The following is a GGA-PBEsol calculation of a relaxed La2SiAu crystal, from Alexandria via LeMat-Bulk.

Cell: 3.4422 3.8779 7.4082 Å, 90.00 90.00 90.00°
Last column: nearest neighbours and their distance in Å.
Sites, in units of the cell vectors:
La  0.0000  0.0000  0.2386  4 Si 3.14, 4 Au 3.24, 2 La 3.44
La  0.0000  0.0000  0.7614  4 Si 3.14, 4 Au 3.24, 2 La 3.44
Si  0.5000  0.5000  0.0000  8 La 3.14, 2 Si 3.44
Au  0.5000  0.5000  0.5000  8 La 3.24, 2 Au 3.44

**Total magnetic moment**: 0.000 μB per cell
**Calculated density**: 8.444 Mg/m³
**Total DFT energy (no corrections)**: -5.752 eV per atom
**Symmetry**: Pmmm (47)
**Formation energy without anion corrections**: -0.6615 eV per atom

[2]
The following is a GGA-PBEsol calculation of a relaxed MnB4 crystal, from Alexandria via LeMat-Bulk.

Cell: 4.5630 5.3317 2.9189 Å, 90.00 90.00 90.00°
Last column: nearest neighbours and their distance in Å.
Sites, in units of the cell vectors:
Mn  0.0000  0.0000  0.0000  12 B 2.00-2.23
Mn  0.5000  0.5000  0.5000  12 B 2.00-2.23
B  0.1652  0.3691  0.0000  4 B 1.71-1.86
B  0.2369  0.6841  0.0000  4 B 1.71-1.86
B  0.2631  0.1841  0.5000  4 B 1.71-1.86
B  0.3348  0.8691  0.5000  4 B 1.71-1.86
B  0.6652  0.1309  0.5000  4 B 1.71-1.86
B  0.7369  0.8159  0.5000  4 B 1.71-1.86
B  0.7631  0.3159  0.0000  4 B 1.71-1.86
B  0.8348  0.6309  0.0000  4 B 1.71-1.86

**Energy of formation**: -32.29 kJ/mol of atoms
**Total magnetic moment**: 1.057 μB per cell
**Calculated density**: 4.592 Mg/m³
**Total DFT energy (no corrections)**: -7.900 eV per atom
**Symmetry**: Pnnm (58)

[3]
The following is a GGA-PBEsol calculation of a relaxed ZnGaIr2 crystal, from Alexandria via LeMat-Bulk.

Cell: 4.2451 4.2451 4.2451 Å, 60.00 60.00 60.00°
Last column: nearest neighbours and their distance in Å.
Sites, in units of the cell vectors:
Zn  0.0000  0.0000  0.0000  8 Ir 2.60
Ga  0.5000  0.5000  0.5000  8 Ir 2.60
Ir  0.2500  0.2500  0.2500  4 Zn 2.60, 4 Ga 2.60
Ir  0.7500  0.7500  0.7500  4 Ga 2.60, 4 Zn 2.60

**Energy of formation**: -33.63 kJ/mol of atoms
**Total magnetic moment**: 0.000 μB per cell
**Calculated density**: 15.950 Mg/m³
**Total DFT energy (no corrections)**: -6.491 eV per atom
**Symmetry**: Fm-3m (225)

[4]
The following is a GGA-PBEsol calculation of a relaxed TbB2 crystal, from Alexandria via LeMat-Bulk.

Cell: 3.2776 3.2776 3.8617 Å, 90.00 90.00 120.00°
Last column: nearest neighbours and their distance in Å.
Sites, in units of the cell vectors:
Tb  0.0000  0.0000  0.0000  12 B 2.70
B  0.3333  0.6667  0.5000  3 B 1.89
B  0.6667  0.3333  0.5000  3 B 1.89

**Energy of formation**: -57.88 kJ/mol of atoms
**Total magnetic moment**: 0.000 μB per cell
**Calculated density**: 8.345 Mg/m³
**Total DFT energy (no corrections)**: -6.947 eV per atom
**Symmetry**: P6/mmm (191)

[5]
The following is a GGA-PBEsol calculation of a relaxed RbGeAs3 crystal, from Alexandria via LeMat-Bulk.

Cell: 5.0713 5.0713 5.0713 Å, 90.00 90.00 90.00°
Last column: nearest neighbours and their distance in Å.
Sites, in units of the cell vectors:
Rb  0.0000  0.0000  0.0000  12 As 3.59
Ge  0.5000  0.5000  0.5000  6 As 2.54
As  0.0000  0.5000  0.5000  2 Ge 2.54
As  0.5000  0.0000  0.5000  2 Ge 2.54
As  0.5000  0.5000  0.0000  2 Ge 2.54

**Energy of formation**: 36.91 kJ/mol of atoms
**Total magnetic moment**: 0.001 μB per cell
**Calculated density**: 4.875 Mg/m³
**Total DFT energy (no corrections)**: -3.874 eV per atom
**Symmetry**: Pm-3m (221)

[6]
The following is a GGA-PBEsol calculation of a relaxed Y2ScSeI crystal, from Alexandria via LeMat-Bulk.

Cell: 5.3989 5.3989 4.9241 Å, 90.00 90.00 90.00°
Last column: nearest neighbours and their distance in Å.
Sites, in units of the cell vectors:
Y  0.0000  0.5000  0.0000  2 Se 2.70
Y  0.5000  0.0000  0.0000  2 Se 2.70
Sc  0.0000  0.0000  0.5000  2 Se 2.46
Se  0.0000  0.0000  0.0000  2 Sc 2.46, 4 Y 2.70
I  0.5000  0.5000  0.5000  8 Y 3.65, 4 Sc 3.82

**Total magnetic moment**: 0.013 μB per cell
**Calculated density**: 4.959 Mg/m³
**Total DFT energy (no corrections)**: -5.612 eV per atom
**Symmetry**: P4/mmm (123)
**Formation energy without anion corrections**: -0.4386 eV per atom

[7]
The following is a GGA-PBEsol calculation of a relaxed Hf2MgCo2 crystal, from Alexandria via LeMat-Bulk.

Cell: 7.2212 7.2212 3.0800 Å, 90.00 90.00 90.00°
Last column: nearest neighbours and their distance in Å.
Sites, in units of the cell vectors:
Hf  0.1560  0.3440  0.0000  6 Co 2.62
Hf  0.3440  0.8440  0.0000  6 Co 2.62
Hf  0.6560  0.1560  0.0000  6 Co 2.62
Hf  0.8440  0.6560  0.0000  6 Co 2.62
Mg  0.0000  0.0000  0.5000  4 Co 2.80, 2 Mg 3.08, 8 Hf 3.13
Mg  0.5000  0.5000  0.5000  4 Co 2.80, 2 Mg 3.08, 8 Hf 3.13
Co  0.1370  0.6370  0.5000  6 Hf 2.62, 1 Co 2.80, 2 Mg 2.80
Co  0.3630  0.1370  0.5000  6 Hf 2.62, 1 Co 2.80, 2 Mg 2.80
Co  0.6370  0.8630  0.5000  6 Hf 2.62, 1 Co 2.80, 2 Mg 2.80
Co  0.8630  0.3630  0.5000  6 Hf 2.62, 1 Co 2.80, 2 Mg 2.80

**Energy of formation**: -26.19 kJ/mol of atoms
**Total magnetic moment**: 0.003 μB per cell
**Calculated density**: 10.321 Mg/m³
**Total DFT energy (no corrections)**: -7.911 eV per atom
**Symmetry**: P4/mbm (127)

[8]
The following is a GGA-PBEsol calculation of a relaxed Sm2SiSeO4 crystal, from Alexandria via LeMat-Bulk.

Cell: 6.0938 7.0487 10.8558 Å, 90.00 90.00 90.00°
Last column: nearest neighbours and their distance in Å.
Sites, in units of the cell vectors:
Sm  0.1071  0.2500  0.0000  6 O 2.41-2.44
Sm  0.1071  0.2500  0.5000  6 O 2.41-2.44
Sm  0.3698  0.5325  0.2500  6 O 2.42-2.52
Sm  0.3698  0.9675  0.7500  6 O 2.42-2.52
Sm  0.6302  0.0325  0.2500  6 O 2.42-2.52
Sm  0.6302  0.4675  0.7500  6 O 2.42-2.52
Sm  0.8929  0.7500  0.0000  6 O 2.41-2.44
Sm  0.8929  0.7500  0.5000  6 O 2.41-2.44
Si  0.3883  0.7500  0.0000  4 O 1.64-1.65
Si  0.3883  0.7500  0.5000  4 O 1.64-1.65
Si  0.6117  0.2500  0.0000  4 O 1.64-1.65
Si  0.6117  0.2500  0.5000  4 O 1.64-1.65
Se  0.0810  0.6139  0.7500  4 Sm 2.93-3.10, 4 O 3.22-3.28
Se  0.0810  0.8861  0.2500  4 Sm 2.93-3.10, 4 O 3.22-3.28
Se  0.9190  0.1139  0.7500  4 Sm 2.93-3.10, 4 O 3.22-3.28
Se  0.9190  0.3861  0.2500  4 Sm 2.93-3.10, 4 O 3.22-3.28
O  0.2270  0.5711  0.0333  1 Si 1.64
O  0.2270  0.5711  0.4667  1 Si 1.64
O  0.2270  0.9289  0.5333  1 Si 1.64
O  0.2270  0.9289  0.9667  1 Si 1.64
O  0.4462  0.2375  0.6198  1 Si 1.65
O  0.4462  0.2375  0.8802  1 Si 1.65
O  0.4462  0.2625  0.1198  1 Si 1.65
O  0.4462  0.2625  0.3802  1 Si 1.65
O  0.5538  0.7375  0.6198  1 Si 1.65
O  0.5538  0.7375  0.8802  1 Si 1.65
O  0.5538  0.7625  0.1198  1 Si 1.65
O  0.5538  0.7625  0.3802  1 Si 1.65
O  0.7730  0.0711  0.0333  1 Si 1.64
O  0.7730  0.0711  0.4667  1 Si 1.64
O  0.7730  0.4289  0.5333  1 Si 1.64
O  0.7730  0.4289  0.9667  1 Si 1.64

**Total magnetic moment**: 0.000 μB per cell
**Calculated density**: 6.720 Mg/m³
**Total DFT energy (no corrections)**: -8.138 eV per atom
**Symmetry**: Pbcm (57)
**Formation energy without anion corrections**: -3.0402 eV per atom

[9]
The following is a GGA-PBEsol calculation of a relaxed Sc4CuAu crystal, from Alexandria via LeMat-Bulk.

Cell: 5.4865 5.4865 5.4865 Å, 60.00 60.00 60.00°
Last column: nearest neighbours and their distance in Å.
Sites, in units of the cell vectors:
Sc  0.1246  0.1246  0.1246  6 Sc 2.74-2.75
Sc  0.1246  0.1246  0.6261  6 Sc 2.74-2.75
Sc  0.1246  0.6261  0.1246  6 Sc 2.74-2.75
Sc  0.6261  0.1246  0.1246  6 Sc 2.74-2.75
Cu  0.5000  0.5000  0.5000  12 Sc 3.22, 4 Au 3.36
Au  0.7500  0.7500  0.7500  12 Sc 3.22, 4 Cu 3.36

**Energy of formation**: 31.45 kJ/mol of atoms
**Total magnetic moment**: 0.001 μB per cell
**Calculated density**: 6.261 Mg/m³
**Total DFT energy (no corrections)**: -5.454 eV per atom
**Symmetry**: F-43m (216)

[10]
The following is a GGA-PBEsol calculation of a relaxed LiTcP2S crystal, from Alexandria via LeMat-Bulk.

Cell: 4.1239 4.1239 4.2604 Å, 90.00 90.00 90.00°
Last column: nearest neighbours and their distance in Å.
Sites, in units of the cell vectors:
Li  0.0000  0.0000  0.0000  4 P 2.06, 2 S 2.13
Tc  0.5000  0.5000  0.5000  4 S 2.92, 8 P 2.96
P  0.0000  0.5000  0.0000  2 Li 2.06
P  0.5000  0.0000  0.0000  2 Li 2.06
S  0.0000  0.0000  0.5000  2 Li 2.13

**Total magnetic moment**: 1.793 μB per cell
**Calculated density**: 4.560 Mg/m³
**Total DFT energy (no corrections)**: -4.841 eV per atom
**Symmetry**: P4/mmm (123)
**Formation energy without anion corrections**: 0.9985 eV per atom

[11]
The following is a GGA-PBEsol calculation of a relaxed TaCr3H crystal, from Alexandria via LeMat-Bulk.

Cell: 3.7817 3.7817 3.7817 Å, 90.00 90.00 90.00°
Last column: nearest neighbours and their distance in Å.
Sites, in units of the cell vectors:
Ta  0.0000  0.0000  0.0000  12 Cr 2.67
Cr  0.0000  0.5000  0.5000  2 H 1.89
Cr  0.5000  0.0000  0.5000  2 H 1.89
Cr  0.5000  0.5000  0.0000  2 H 1.89
H  0.5000  0.5000  0.5000  6 Cr 1.89

**Total magnetic moment**: 0.000 μB per cell
**Calculated density**: 10.376 Mg/m³
**Total DFT energy (no corrections)**: -9.059 eV per atom
**Symmetry**: Pm-3m (221)

[12]
The following is a GGA-PBEsol calculation of a relaxed ZrCdSb crystal, from Alexandria via LeMat-Bulk.

Cell: 4.7896 4.7896 4.7896 Å, 60.00 60.00 60.00°
Last column: nearest neighbours and their distance in Å.
Sites, in units of the cell vectors:
Zr  0.0000  0.0000  0.0000  4 Cd 2.93, 4 Sb 2.93
Cd  0.7500  0.7500  0.7500  4 Zr 2.93
Sb  0.2500  0.2500  0.2500  4 Zr 2.93

**Total magnetic moment**: 0.001 μB per cell
**Calculated density**: 6.955 Mg/m³
**Total DFT energy (no corrections)**: -4.903 eV per atom
**Symmetry**: F-43m (216)
**Formation energy without anion corrections**: 0.0454 eV per atom

no.,Fermi-level density of states (states/eV/atom)
1,0.645
2,0.182
3,0.234
4,0.428
5,0.908
6,1.611
7,0.968
8,0.000
9,1.044
10,0.801
11,1.556
12,1.033